The following is a DFT calculation (PBE with a Hubbard U) of Mo2OF after structural relaxation.

Properties
For the calculated volume, the calculation gives 49 Å³/cell. Its theoretical density is 7.6 g/cm³. Its calculated total energy is -4.617 eV per atom. As for the crystal system: cubic. As for the size of the total moment: 0.0 μB per cell.

Lattice parameters (Å, degrees): 4.1169 4.1169 4.1169 60.00 60.00 60.00
Closest atoms and distances in Å follow each position.
Fractional positions:
1 Mo 0.7500 0.7500 0.7500  4 O 2.52, 4 F 2.52
2 Mo 0.2500 0.2500 0.2500  4 O 2.52, 4 F 2.52
3 O 0.0000 0.0000 0.0000  8 Mo 2.52
4 F 0.5000 0.5000 0.5000  8 Mo 2.52